[1]
# GGA-PBEsol LaCdPb2, relaxed
data_LaCdPb2
_cell_length_a 4.8692
_cell_length_b 4.8692
_cell_length_c 4.6009
_cell_angle_alpha 90.00
_cell_angle_beta 90.00
_cell_angle_gamma 90.00
_space_group_name_H-M_alt 'P 4/m m m'
_space_group_IT_number 123
_space_group_name_Hall '-P 4 2'
loop_
_atom_site_label
_atom_site_fract_x
_atom_site_fract_y
_atom_site_fract_z
La1 0.0000 0.0000 0.0000
Cd1 0.5000 0.5000 0.0000
Pb1 0.0000 0.5000 0.5000
# - formation enthalpy at 0 K (eV/atom) = -0.46
# - density of states at the Fermi level (states/eV/f.u.) = 2.07
# - energy (Ha/atom) = -0.1504
# - volume (Å³ per atom) = 27.27

[2]
# GGA-PBEsol LaCdPb2, relaxed
data_LaCdPb2
_cell_length_a 3.3338
_cell_length_b 5.5165
_cell_length_c 6.1175
_cell_angle_alpha 90.00
_cell_angle_beta 90.04
_cell_angle_gamma 90.00
_space_group_name_H-M_alt 'P 1 m 1'
_space_group_IT_number 6
loop_
_space_group_symop_operation_xyz
'x,y,z'
'x,-y,z'
loop_
_atom_site_label
_atom_site_fract_x
_atom_site_fract_y
_atom_site_fract_z
La1 0.0000 0.0000 0.0000
Cd1 0.5007 0.5000 0.7309
Pb1 0.4942 0.0000 0.5043
Pb2 0.5041 0.5000 0.2165
# - formation enthalpy at 0 K (eV/atom) = -0.27
# - density of states at the Fermi level (states/eV/f.u.) = 3.01
# - energy (Ha/atom) = -0.1434
# - volume (Å³ per atom) = 28.13

[3]
# GGA-PBEsol LaCdPb, relaxed
data_LaCdPb
_cell_length_a 4.8886
_cell_length_b 4.8886
_cell_length_c 4.0765
_cell_angle_alpha 90.00
_cell_angle_beta 90.00
_cell_angle_gamma 120.00
_space_group_name_H-M_alt 'P 3 m 1'
_space_group_IT_number 156
loop_
_space_group_symop_operation_xyz
'x,y,z'
'-y,x-y,z'
'-x+y,-x,z'
'-y,-x,z'
'-x+y,y,z'
'x,x-y,z'
loop_
_atom_site_label
_atom_site_fract_x
_atom_site_fract_y
_atom_site_fract_z
La1 0.0000 0.0000 0.0000
Cd1 0.6667 0.3333 0.5899
Pb1 0.3333 0.6667 0.4139
# - formation enthalpy at 0 K (eV/atom) = -0.44
# - density of states at the Fermi level (states/eV/f.u.) = 1.68
# - energy (Ha/atom) = -0.1452
# - volume (Å³ per atom) = 28.12

[4]
# GGA-PBEsol LaCdPb2, relaxed
data_LaCdPb2
_cell_length_a 3.9788
_cell_length_b 3.9788
_cell_length_c 7.1175
_cell_angle_alpha 90.00
_cell_angle_beta 90.00
_cell_angle_gamma 90.00
_space_group_name_H-M_alt 'P 4 m m'
_space_group_IT_number 99
loop_
_space_group_symop_operation_xyz
'x,y,z'
'-y,x,z'
'-x,-y,z'
'y,-x,z'
'-x,y,z'
'y,x,z'
'x,-y,z'
'-y,-x,z'
loop_
_atom_site_label
_atom_site_fract_x
_atom_site_fract_y
_atom_site_fract_z
La1 0.0000 0.0000 0.0000
Cd1 0.5000 0.5000 0.7294
Pb1 0.0000 0.0000 0.5114
Pb2 0.5000 0.5000 0.2787
# - formation enthalpy at 0 K (eV/atom) = -0.23
# - density of states at the Fermi level (states/eV/f.u.) = 3.40
# - energy (Ha/atom) = -0.1422
# - volume (Å³ per atom) = 28.17

[5]
# GGA-PBEsol LaCdPb3, relaxed
data_LaCdPb3
_cell_length_a 6.0298
_cell_length_b 6.0298
_cell_length_c 6.0298
_cell_angle_alpha 90.00
_cell_angle_beta 90.00
_cell_angle_gamma 90.00
_space_group_name_H-M_alt 'P m -3 m'
_space_group_IT_number 221
_space_group_name_Hall '-P 4 2 3'
loop_
_atom_site_label
_atom_site_fract_x
_atom_site_fract_y
_atom_site_fract_z
La1 0.0000 0.0000 0.0000
Cd1 0.5000 0.5000 0.5000
Pb1 0.0000 0.0000 0.5000
# - formation enthalpy at 0 K (eV/atom) = 0.73
# - density of states at the Fermi level (states/eV/f.u.) = 6.72
# - energy (Ha/atom) = -0.1095
# - volume (Å³ per atom) = 43.85

[6]
# GGA-PBEsol LaCdPb2, relaxed
data_LaCdPb2
_cell_length_a 4.6642
_cell_length_b 4.6642
_cell_length_c 10.2311
_cell_angle_alpha 90.00
_cell_angle_beta 90.00
_cell_angle_gamma 90.00
_space_group_name_H-M_alt 'I 4/m m m'
_space_group_IT_number 139
_space_group_name_Hall '-I 4 2'
loop_
_atom_site_label
_atom_site_fract_x
_atom_site_fract_y
_atom_site_fract_z
La1 0.0000 0.0000 0.0000
Cd1 0.0000 0.0000 0.5000
Pb1 0.0000 0.5000 0.2500
# - formation enthalpy at 0 K (eV/atom) = -0.35
# - density of states at the Fermi level (states/eV/f.u.) = 2.23
# - energy (Ha/atom) = -0.1465
# - volume (Å³ per atom) = 27.82

Question: Among the records above, which one has the highest volume?
Answer: LaCdPb3

Question: Among the records above, which one has the lowest formation enthalpy at 0 K?
Answer: number 1

Question: Which of these has the lowest volume?
Answer: number 1